(1)
A relaxed Li3IrO6 crystal, computed with PBE.

CIF file:
```
data_Li3IrO6
_symmetry_space_group_name_H-M 'P 63 2 2'
_symmetry_Int_Tables_number 182
_symmetry_space_group_name_Hall 'P 6c 2c'
_cell_length_a 5.1324
_cell_length_b 5.1324
_cell_length_c 9.4007
_cell_angle_alpha 90.00
_cell_angle_beta 90.00
_cell_angle_gamma 120.00
loop_
_atom_site_label
_atom_site_type_symbol
_atom_site_fract_x
_atom_site_fract_y
_atom_site_fract_z
Li1 Li 0.0000 0.0000 0.0000
Li2 Li 0.3333 0.6667 0.0656
Ir1 Ir 0.3333 0.6667 0.7500
O1 O 0.0384 0.3666 0.6349
```

The raw formation energy is -0.9863 eV per atom.

***

(2)
A relaxed NdSmSn crystal, computed with PBE.

CIF file:
```
data_NdSmSn
_symmetry_space_group_name_H-M 'P 4/n m m'
_symmetry_Int_Tables_number 129
_cell_length_a 4.6400
_cell_length_b 4.6400
_cell_length_c 8.7753
_cell_angle_alpha 90.00
_cell_angle_beta 90.00
_cell_angle_gamma 90.00
loop_
_symmetry_equiv_pos_as_xyz
'x,y,z'
'-x,-y,-z'
'-y+1/2,x,z'
'y+1/2,-x,-z'
'-x+1/2,-y+1/2,z'
'x+1/2,y+1/2,-z'
'y,-x+1/2,z'
'-y,x+1/2,-z'
'x+1/2,-y,-z'
'-x+1/2,y,z'
'-y,-x,-z'
'y,x,z'
'-x,y+1/2,-z'
'x,-y+1/2,z'
'y+1/2,x+1/2,-z'
'-y+1/2,-x+1/2,z'
loop_
_atom_site_label
_atom_site_type_symbol
_atom_site_fract_x
_atom_site_fract_y
_atom_site_fract_z
Nd1 Nd 0.2500 0.2500 0.1498
Sm1 Sm 0.2500 0.7500 0.5000
Sn1 Sn 0.2500 0.2500 0.7772
```

The formation enthalpy at 0 K comes out at -0.582 eV per atom. Its excess energy over the best structure of this formula in the dataset is 0.016 eV/atom.

***

Record-wise total magnetization values, in μB/f.u.: 0.000; 0.000
Record-wise DOS(E_F) values, in states/eV per atom: 0.311; 1.286